TaAl2TeBr (PBE, optimized geometry); total magnetization = 1.371 μB/cell; uncorrected formation energy = 1462 meV/atom
1.0
4.824 0.000 0.000
0.000 4.824 0.000
0.000 0.000 5.517
Ta Al Te Br
1 2 1 1
Cartesian
0.000 0.000 0.000 Ta
0.000 2.412 2.759 Al
2.412 0.000 2.759 Al
2.412 2.412 0.000 Te
2.412 2.412 2.759 Br